Entry 1:
This record from the Alexandria database describes a relaxed TbDyTm2Te6 crystal. The functional is PBE.

abc: 7.654 7.654 8.267
angles: 62.43 62.43 60.00
Fractional coordinates of all 10 atoms:
Te  0.234  0.909  0.250
Te  0.607  0.234  0.250
Te  0.106  0.410  0.749
Tm  0.508  0.508  0.476
Dy  0.823  0.823  0.532
Te  0.735  0.106  0.749
Tb  0.323  0.323  0.032
Te  0.909  0.607  0.250
Te  0.410  0.735  0.749
Tm  0.008  0.008  0.976

Results
total magnetic moment	0.0	μB/cell
uncorrected formation energy	-1347	meV/atom
V	354.5	Å³/f.u.
crystal system	trigonal

---

Entry 2:
This record from the Alexandria database describes a relaxed BeCN2 crystal. The functional is PBE.

abc: 2.994 2.994 4.794
angles: 71.81 71.81 90.00
Fractional coordinates of all 4 atoms:
N  0.143  0.143  0.714
N  0.857  0.857  0.286
C  0.000  0.000  0.000
Be  0.750  0.250  0.500

Results
total magnetic moment	0.0	μB/cell
uncorrected formation energy	-456	meV/atom
V	38.6	Å³/f.u.
Fermi-level density of states	0.00	states/eV per atom
crystal system	tetragonal

---

Entry 3:
This record from the Alexandria database describes a relaxed Li4Hg5Pb crystal. The functional is PBE.

abc: 3.398 3.398 17.827
angles: 90.00 90.00 90.00
Fractional coordinates of all 10 atoms:
Li  0.000  0.000  0.775
Hg  0.500  0.500  0.500
Pb  0.000  0.000  0.000
Hg  0.500  0.500  0.863
Li  0.000  0.000  0.225
Hg  0.500  0.500  0.137
Hg  0.500  0.500  0.319
Hg  0.500  0.500  0.681
Li  0.000  0.000  0.591
Li  0.000  0.000  0.409

Results
total magnetic moment	0.0	μB/cell
V	205.8	Å³/f.u.
energy relative to the elements	-6.8	kcal/mol of atoms
Fermi-level density of states	0.22	states/eV per atom
crystal system	tetragonal

---

Entry 4:
This record from the Alexandria database describes a relaxed SmLuTlGe crystal. The functional is PBE.

abc: 5.230 5.230 5.230
angles: 60.00 60.00 60.00
Fractional coordinates of all 4 atoms:
Ge  0.750  0.750  0.750
Lu  0.500  0.500  0.500
Tl  0.250  0.250  0.250
Sm  0.000  0.000  0.000

Results
total magnetic moment	0.0	μB/cell
V	101.1	Å³/f.u.
energy relative to the elements	-9.1	kcal/mol of atoms
Fermi-level density of states	0.91	states/eV per atom
crystal system	cubic

---

Entry 5:
This record from the Alexandria database describes a relaxed Si2TeP crystal. The functional is PBE.

abc: 3.371 4.682 4.682
angles: 90.00 90.00 90.00
Fractional coordinates of all 4 atoms:
Si  0.000  0.000  0.000
P  0.500  0.000  0.500
Si  0.000  0.500  0.500
Te  0.500  0.500  0.000

Results
ΔE to the lowest computed polymorph	542	meV per atom
total magnetic moment	0.0	μB/cell
uncorrected formation energy	713	meV/atom
V	73.9	Å³/f.u.
Fermi-level density of states	0.63	states/eV per atom
crystal system	tetragonal

---

Entry 6:
This record from the Alexandria database describes a relaxed TlIrPb2 crystal. The functional is PBE.

abc: 10.626 10.626 10.626
angles: 18.24 18.24 18.24
Fractional coordinates of all 4 atoms:
Tl  0.485  0.485  0.485
Ir  0.750  0.750  0.750
Pb  0.017  0.017  0.017
Pb  0.248  0.248  0.248

Results
ΔE to the lowest computed polymorph	148	meV per atom
total magnetic moment	0.0	μB/cell
V	102.7	Å³/f.u.
energy relative to the elements	7.7	kcal/mol of atoms
Fermi-level density of states	0.51	states/eV per atom
crystal system	trigonal

---

Entry 7:
This record from the Alexandria database describes a relaxed SrReN3 crystal. The functional is PBE.

abc: 6.012 5.296 5.404
angles: 110.55 106.18 92.48
Fractional coordinates of all 10 atoms:
Re  0.847  0.467  0.554
Sr  0.948  0.109  0.974
N  0.595  0.263  0.246
N  0.404  0.138  0.089
N  0.007  0.124  0.503
N  0.386  0.715  0.505
N  0.980  0.612  0.978
N  0.599  0.730  0.645
Sr  0.419  0.590  0.961
Re  0.082  0.775  0.377

Results
total magnetic moment	0.0	μB/cell
uncorrected formation energy	-311	meV/atom
V	76.4	Å³/f.u.
Fermi-level density of states	0.32	states/eV per atom
crystal system	triclinic

---

Entry 8:
This record from the Alexandria database describes a relaxed Y12Ho5Tm2 crystal. The functional is PBE.

abc: 9.278 9.035 8.574
angles: 91.33 90.00 120.89
Fractional coordinates of all 19 atoms:
Tm  0.327  0.000  0.000
Ho  0.702  0.404  0.018
Y  0.030  0.698  0.762
Y  0.970  0.302  0.238
Y  0.442  0.884  0.666
Ho  0.000  0.000  0.500
Y  0.821  0.257  0.667
Y  0.080  0.160  0.876
Y  0.920  0.840  0.124
Ho  0.230  0.461  0.572
Y  0.669  0.698  0.762
Y  0.179  0.743  0.333
Tm  0.673  0.000  0.000
Ho  0.770  0.539  0.428
Y  0.436  0.257  0.667
Ho  0.298  0.596  0.982
Y  0.564  0.743  0.333
Y  0.331  0.302  0.238
Y  0.558  0.116  0.334

Results
ΔE to the lowest computed polymorph	99	meV per atom
total magnetic moment	0.0	μB/cell
V	616.6	Å³/f.u.
energy relative to the elements	2.9	kcal/mol of atoms
Fermi-level density of states	1.57	states/eV per atom
crystal system	monoclinic

---

Among the records above, which one has the lowest V? BeCN2

---

Look up the total magnetic moment of the second one. 0.0 μB/cell

---

Which formula does entry 7 have? SrReN3

---

Repeat the sixth record exactly.
This record from the Alexandria database describes a relaxed TlIrPb2 crystal. The functional is PBE.

abc: 10.626 10.626 10.626
angles: 18.24 18.24 18.24
Fractional coordinates of all 4 atoms:
Tl  0.485  0.485  0.485
Ir  0.750  0.750  0.750
Pb  0.017  0.017  0.017
Pb  0.248  0.248  0.248

Results
ΔE to the lowest computed polymorph	148	meV per atom
total magnetic moment	0.0	μB/cell
V	102.7	Å³/f.u.
energy relative to the elements	7.7	kcal/mol of atoms
Fermi-level density of states	0.51	states/eV per atom
crystal system	trigonal